# 1
Entry from Alexandria: crystalline LiHoSi2Ni at its relaxed geometry (PBE-GGA).

Output
Calculated density ... 6.12 Mg/m³
Raw formation energy ... -62.3 kJ per mole of atoms

```
5
Lattice="3.949 0.000 0.000 0.000 3.949 0.000 -1.974 -1.974 4.989" Properties=species:S:1:pos:R:3 pbc="T T T"
Si 1.974 1.974 1.182
Ho 0.000 0.000 0.000
Li 0.000 1.974 2.495
Ni 1.974 0.000 2.495
Si 0.000 0.000 3.807
```

***

# 2
Entry from Alexandria: crystalline Ho6TeP2Se3 at its relaxed geometry (PBE-GGA).

Output
Calculated density ... 8.10 Mg/m³
Raw formation energy ... -161.5 kJ per mole of atoms

```
12
Lattice="4.061 0.000 0.000 0.000 8.226 0.323 -2.030 -2.339 8.596" Properties=species:S:1:pos:R:3 pbc="T T T"
Ho 0.000 5.766 5.856
Se 2.030 -0.239 5.884
Ho 2.030 3.898 3.159
Ho 0.000 2.207 0.302
Se 2.030 4.113 0.162
Ho 2.030 3.679 8.618
Ho 2.030 0.121 3.064
P 0.000 1.987 3.012
Ho 0.000 1.989 5.760
Se 0.000 6.125 3.035
Te 2.030 0.000 0.000
P 2.030 3.900 5.907
```

***

# 3
Entry from Alexandria: crystalline TlInSn3 at its relaxed geometry (PBE-GGA).

Output
Calculated density ... 6.07 Mg/m³
Offset from the most stable computed form ... 450 meV per atom
Formation enthalpy at 0 K ... 0.487 eV per atom

```
5
Lattice="5.694 0.000 0.000 0.000 5.694 0.000 0.000 0.000 5.694" Properties=species:S:1:pos:R:3 pbc="T T T"
Sn 2.847 0.000 0.000
Sn 0.000 0.000 2.847
In 0.000 0.000 0.000
Sn 0.000 2.847 0.000
Tl 2.847 2.847 2.847
```

***

# 4
Entry from Alexandria: crystalline BeTlTc3 at its relaxed geometry (PBE-GGA).

Output
Calculated density ... 6.46 Mg/m³
Offset from the most stable computed form ... 2107 meV per atom
Formation enthalpy at 0 K ... 2.882 eV per atom

```
5
Lattice="-3.920 0.470 -3.183 1.161 -4.472 -2.090 -3.000 -2.344 3.349" Properties=species:S:1:pos:R:3 pbc="T T T"
Be -2.879 -3.173 -0.962
Tc 0.581 -2.236 -1.045
Tc -1.960 0.235 -1.591
Tl 0.000 0.000 0.000
Tc -1.500 -1.172 1.675
```

***

Q: Which energy values were calculated for the entries above? A: -5.2694 -5.9976 -2.9357 -4.5565, in eV/atom.